{
  "formula": "Dy10YTm4",
  "functional": "PBE",
  "state": "relaxed",
  "rho_g_cm3": 7.13,
  "spacegroup": "I4/m",
  "energy_ev_per_atom": -3.9667,
  "vol_a3_per_cell": 556.8,
  "cell": [[6.960, 0.000, 3.143], [3.480, 8.539, 1.571], [-0.034, 0.000, 9.353]],
  "species": ["Dy", "Dy", "Dy", "Dy", "Dy", "Dy", "Dy", "Dy", "Dy", "Dy", "Y", "Tm", "Tm", "Tm", "Tm"],
  "frac_coords": [[0.250, 0.500, 0.500], [0.648, 0.302, 0.899], [0.050, 0.101, 0.302], [0.453, 0.899, 0.698], [0.849, 0.698, 0.101], [0.352, 0.698, 0.101], [0.750, 0.500, 0.500], [0.151, 0.302, 0.899], [0.547, 0.101, 0.302], [0.950, 0.899, 0.698], [0.000, 0.000, 0.000], [0.400, 0.800, 0.400], [0.800, 0.600, 0.800], [0.200, 0.400, 0.200], [0.600, 0.200, 0.600]]
}


{
  "formula": "DyY2Tm5",
  "functional": "PBE",
  "state": "relaxed",
  "rho_g_cm3": 8.02,
  "spacegroup": "I4/mmm",
  "energy_ev_per_atom": -4.9572,
  "vol_a3_per_cell": 245.4,
  "cell": [[7.029, -0.001, 0.001], [-0.001, 7.029, 0.001], [-3.513, -3.513, 4.966]],
  "species": ["Dy", "Y", "Y", "Tm", "Tm", "Tm", "Tm", "Tm"],
  "frac_coords": [[0.222, 0.222, 0.444], [0.222, 0.722, 0.444], [0.722, 0.222, 0.444], [0.722, 0.222, 0.944], [0.222, 0.222, 0.944], [0.722, 0.722, 0.944], [0.222, 0.722, 0.944], [0.722, 0.722, 0.444]]
}


{
  "formula": "Dy3YTm12",
  "functional": "PBE",
  "state": "relaxed",
  "rho_g_cm3": 8.89,
  "spacegroup": "P4/mmm",
  "energy_ev_per_atom": -4.5950,
  "vol_a3_per_cell": 486.2,
  "cell": [[-2.195, 3.686, 2.476], [-0.528, -2.959, 3.937], [17.638, 5.923, 6.820]],
  "species": ["Dy", "Dy", "Dy", "Y", "Tm", "Tm", "Tm", "Tm", "Tm", "Tm", "Tm", "Tm", "Tm", "Tm", "Tm", "Tm"],
  "frac_coords": [[0.000, 0.000, 0.250], [0.000, 0.000, 0.500], [0.000, 0.000, 0.750], [0.000, 0.000, 0.000], [0.500, 0.500, 0.000], [0.500, 0.500, 0.250], [0.500, 0.500, 0.500], [0.500, 0.500, 0.750], [0.500, 0.000, 0.126], [0.500, 0.000, 0.375], [0.500, 0.000, 0.625], [0.500, 0.000, 0.874], [0.000, 0.500, 0.126], [0.000, 0.500, 0.375], [0.000, 0.500, 0.625], [0.000, 0.500, 0.874]]
}


{
  "formula": "Dy9YTm2",
  "functional": "PBE",
  "state": "relaxed",
  "rho_g_cm3": 8.33,
  "spacegroup": "P6/mmm",
  "energy_ev_per_atom": -4.6897,
  "vol_a3_per_cell": 376.7,
  "cell": [[-2.105, -1.362, 2.423], [-1.731, -8.908, -6.511], [8.429, 0.008, 7.328]],
  "species": ["Dy", "Dy", "Dy", "Dy", "Dy", "Dy", "Dy", "Dy", "Dy", "Y", "Tm", "Tm"],
  "frac_coords": [[0.000, 0.000, 0.500], [0.000, 0.500, 0.500], [0.000, 0.500, 0.000], [0.500, 0.354, 0.177], [0.500, 0.177, 0.823], [0.500, 0.177, 0.354], [0.500, 0.823, 0.646], [0.500, 0.823, 0.177], [0.500, 0.646, 0.823], [0.000, 0.000, 0.000], [0.000, 0.333, 0.667], [0.000, 0.667, 0.333]]
}


{
  "formula": "Dy5YTm2",
  "functional": "PBE",
  "state": "relaxed",
  "rho_g_cm3": 8.09,
  "spacegroup": "P-1",
  "energy_ev_per_atom": -4.6395,
  "vol_a3_per_cell": 508.9,
  "cell": [[8.158, 0.313, 2.529], [-3.754, 7.530, -1.394], [5.754, 0.058, 9.918]],
  "species": ["Dy", "Dy", "Dy", "Dy", "Dy", "Dy", "Dy", "Dy", "Dy", "Dy", "Y", "Y", "Tm", "Tm", "Tm", "Tm"],
  "frac_coords": [[0.927, 0.924, 0.893], [0.049, 0.892, 0.545], [0.497, 0.805, 0.416], [0.323, 0.824, 0.109], [0.569, 0.189, 0.247], [0.431, 0.811, 0.753], [0.503, 0.195, 0.584], [0.677, 0.176, 0.891], [0.073, 0.076, 0.107], [0.951, 0.108, 0.455], [0.742, 0.519, 0.748], [0.258, 0.481, 0.252], [0.788, 0.575, 0.384], [0.842, 0.596, 0.046], [0.212, 0.425, 0.616], [0.158, 0.404, 0.954]]
}


{
  "formula": "Dy4Y5Tm3",
  "functional": "PBE",
  "state": "relaxed",
  "rho_g_cm3": 7.06,
  "spacegroup": "P-1",
  "energy_ev_per_atom": -5.3206,
  "vol_a3_per_cell": 376.5,
  "cell": [[-5.320, -0.757, -4.622], [10.723, -3.055, -0.981], [-12.055, -2.407, 3.419]],
  "species": ["Dy", "Dy", "Dy", "Dy", "Y", "Y", "Y", "Y", "Y", "Tm", "Tm", "Tm"],
  "frac_coords": [[0.917, 0.833, 0.666], [0.836, 0.669, 0.834], [0.164, 0.331, 0.166], [0.083, 0.167, 0.334], [0.334, 0.665, 0.831], [0.500, 0.000, 0.500], [0.751, 0.499, 0.999], [0.249, 0.501, 0.001], [0.666, 0.335, 0.169], [0.583, 0.166, 0.333], [0.000, 0.000, 0.500], [0.417, 0.834, 0.667]]
}


{
  "formula": "Dy6Y2Tm3",
  "functional": "PBE",
  "state": "relaxed",
  "rho_g_cm3": 7.56,
  "spacegroup": "I4/mmm",
  "energy_ev_per_atom": -4.6068,
  "vol_a3_per_cell": 364.6,
  "cell": [[4.687, 0.000, 0.000], [0.000, 4.687, 0.000], [-2.344, -2.344, 16.595]],
  "species": ["Dy", "Dy", "Dy", "Dy", "Dy", "Dy", "Y", "Y", "Tm", "Tm", "Tm"],
  "frac_coords": [[0.123, 0.623, 0.245], [0.623, 0.123, 0.245], [0.877, 0.377, 0.755], [0.377, 0.877, 0.755], [0.698, 0.698, 0.396], [0.302, 0.302, 0.604], [0.454, 0.454, 0.908], [0.546, 0.546, 0.092], [0.000, 0.000, 0.000], [0.800, 0.800, 0.601], [0.200, 0.200, 0.399]]
}


{
  "formula": "Dy2Y3Tm7",
  "functional": "PBE",
  "state": "relaxed",
  "rho_g_cm3": 7.87,
  "spacegroup": "Cmmm",
  "energy_ev_per_atom": -4.8832,
  "vol_a3_per_cell": 374.3,
  "cell": [[3.576, 0.000, 0.000], [0.000, 5.621, 0.000], [0.000, -2.811, 18.621]],
  "species": ["Dy", "Dy", "Y", "Y", "Y", "Tm", "Tm", "Tm", "Tm", "Tm", "Tm", "Tm"],
  "frac_coords": [[0.000, 0.853, 0.706], [0.000, 0.147, 0.294], [0.500, 0.500, 0.000], [0.500, 0.685, 0.370], [0.500, 0.315, 0.630], [0.000, 0.409, 0.818], [0.000, 0.769, 0.539], [0.000, 0.000, 0.000], [0.000, 0.591, 0.182], [0.500, 0.071, 0.143], [0.500, 0.929, 0.857], [0.000, 0.231, 0.461]]
}


{
  "formula": "Dy4YTm7",
  "functional": "PBE",
  "state": "relaxed",
  "rho_g_cm3": 8.31,
  "spacegroup": "C2/m",
  "energy_ev_per_atom": -4.3842,
  "vol_a3_per_cell": 383.8,
  "cell": [[-3.107, -1.184, -4.737], [-10.027, -3.750, 3.980], [-3.675, 5.023, -2.380]],
  "species": ["Dy", "Dy", "Dy", "Dy", "Y", "Tm", "Tm", "Tm", "Tm", "Tm", "Tm", "Tm"],
  "frac_coords": [[0.635, 0.225, 0.505], [0.365, 0.775, 0.495], [0.754, 0.681, 0.810], [0.246, 0.319, 0.190], [0.000, 0.000, 0.000], [0.787, 0.924, 0.503], [0.213, 0.076, 0.497], [0.060, 0.676, 0.203], [0.940, 0.324, 0.797], [0.365, 0.501, 0.768], [0.500, 0.000, 0.000], [0.635, 0.499, 0.232]]
}


{
  "formula": "Dy2Y3Tm7",
  "functional": "PBE",
  "state": "relaxed",
  "rho_g_cm3": 7.87,
  "spacegroup": "P2/m",
  "energy_ev_per_atom": -4.9066,
  "vol_a3_per_cell": 374.3,
  "cell": [[-1.737, 3.026, 0.050], [-3.063, -1.844, 5.136], [10.127, 5.590, 13.383]],
  "species": ["Dy", "Dy", "Y", "Y", "Y", "Tm", "Tm", "Tm", "Tm", "Tm", "Tm", "Tm"],
  "frac_coords": [[0.500, 0.613, 0.326], [0.500, 0.387, 0.674], [0.500, 0.500, 0.000], [0.000, 0.106, 0.343], [0.000, 0.894, 0.657], [0.500, 0.244, 0.501], [0.500, 0.756, 0.499], [0.000, 0.560, 0.166], [0.000, 0.000, 0.000], [0.000, 0.440, 0.834], [0.500, 0.944, 0.833], [0.500, 0.056, 0.167]]
}


{
  "formula": "DyY2Tm2",
  "functional": "PBE",
  "state": "relaxed",
  "rho_g_cm3": 7.10,
  "spacegroup": "P4/mbm",
  "energy_ev_per_atom": -5.2046,
  "vol_a3_per_cell": 317.3,
  "cell": [[9.274, 0.000, 0.000], [0.000, 9.274, 0.000], [0.000, 0.000, 3.689]],
  "species": ["Dy", "Dy", "Y", "Y", "Y", "Y", "Tm", "Tm", "Tm", "Tm"],
  "frac_coords": [[0.000, 0.000, 0.000], [0.500, 0.500, 0.000], [0.327, 0.827, 0.500], [0.827, 0.673, 0.500], [0.673, 0.173, 0.500], [0.173, 0.327, 0.500], [0.125, 0.625, 0.000], [0.625, 0.875, 0.000], [0.875, 0.375, 0.000], [0.375, 0.125, 0.000]]
}


{
  "formula": "Dy2Y4Tm5",
  "functional": "PBE",
  "state": "relaxed",
  "rho_g_cm3": 7.24,
  "spacegroup": "C2/m",
  "energy_ev_per_atom": -5.1428,
  "vol_a3_per_cell": 349.8,
  "cell": [[-0.134, -3.351, -1.074], [0.699, -2.647, 8.171], [-11.476, 2.043, 0.828]],
  "species": ["Dy", "Dy", "Y", "Y", "Y", "Y", "Tm", "Tm", "Tm", "Tm", "Tm"],
  "frac_coords": [[0.134, 0.133, 0.267], [0.866, 0.867, 0.733], [0.684, 0.487, 0.369], [0.082, 0.716, 0.164], [0.316, 0.513, 0.631], [0.918, 0.284, 0.836], [0.233, 0.831, 0.467], [0.767, 0.169, 0.533], [0.454, 0.630, 0.908], [0.500, 0.000, 0.000], [0.546, 0.370, 0.092]]
}


{
  "formula": "Dy3Y2Tm4",
  "functional": "PBE",
  "state": "relaxed",
  "rho_g_cm3": 7.85,
  "spacegroup": "C2/m",
  "energy_ev_per_atom": -4.8415,
  "vol_a3_per_cell": 283.6,
  "cell": [[-3.183, -2.331, 4.003], [3.025, -3.997, -3.868], [4.631, 8.390, 8.568]],
  "species": ["Dy", "Dy", "Dy", "Y", "Y", "Tm", "Tm", "Tm", "Tm"],
  "frac_coords": [[0.576, 0.151, 0.686], [0.000, 0.000, 0.000], [0.424, 0.849, 0.314], [0.714, 0.429, 0.282], [0.286, 0.571, 0.718], [0.724, 0.448, 0.040], [0.276, 0.552, 0.960], [0.861, 0.723, 0.627], [0.139, 0.277, 0.373]]
}


{
  "formula": "Dy5Y3Tm",
  "functional": "PBE",
  "state": "relaxed",
  "rho_g_cm3": 6.87,
  "spacegroup": "C2/c",
  "energy_ev_per_atom": -4.9136,
  "vol_a3_per_cell": 603.0,
  "cell": [[6.298, 0.000, 0.000], [-3.149, 10.423, -5.165], [0.000, -3.405, 10.872]],
  "species": ["Dy", "Dy", "Dy", "Dy", "Dy", "Dy", "Dy", "Dy", "Dy", "Dy", "Y", "Y", "Y", "Y", "Y", "Y", "Tm", "Tm"],
  "frac_coords": [[0.397, 0.000, 0.750], [0.649, 0.659, 0.032], [0.883, 0.337, 0.126], [0.351, 0.341, 0.968], [0.546, 0.663, 0.374], [0.603, 0.000, 0.250], [0.009, 0.659, 0.532], [0.991, 0.341, 0.468], [0.454, 0.337, 0.626], [0.117, 0.663, 0.874], [0.000, 0.000, 0.000], [0.469, 0.317, 0.304], [0.000, 0.000, 0.500], [0.531, 0.683, 0.696], [0.849, 0.317, 0.804], [0.151, 0.683, 0.196], [0.877, 0.000, 0.750], [0.123, 0.000, 0.250]]
}


{
  "formula": "Dy6YTm3",
  "functional": "PBE",
  "state": "relaxed",
  "rho_g_cm3": 8.26,
  "spacegroup": "Cmc2_1",
  "energy_ev_per_atom": -4.6230,
  "vol_a3_per_cell": 631.5,
  "cell": [[6.330, 0.000, 0.000], [0.000, 9.973, -5.657], [0.000, -2.203, 11.252]],
  "species": ["Dy", "Dy", "Dy", "Dy", "Dy", "Dy", "Dy", "Dy", "Dy", "Dy", "Dy", "Dy", "Y", "Y", "Tm", "Tm", "Tm", "Tm", "Tm", "Tm"],
  "frac_coords": [[0.070, 0.741, 0.621], [0.570, 0.621, 0.741], [0.327, 0.457, 0.895], [0.827, 0.895, 0.457], [0.315, 0.985, 0.015], [0.787, 0.302, 0.698], [0.287, 0.698, 0.302], [0.815, 0.015, 0.985], [0.327, 0.105, 0.543], [0.827, 0.543, 0.105], [0.070, 0.379, 0.259], [0.570, 0.259, 0.379], [0.014, 0.161, 0.839], [0.514, 0.839, 0.161], [0.490, 0.957, 0.705], [0.990, 0.705, 0.957], [0.094, 0.419, 0.581], [0.594, 0.581, 0.419], [0.990, 0.043, 0.295], [0.490, 0.295, 0.043]]
}


{
  "formula": "DyYTm2",
  "functional": "PBE",
  "state": "relaxed",
  "rho_g_cm3": 7.89,
  "spacegroup": "R3m",
  "energy_ev_per_atom": -4.9903,
  "vol_a3_per_cell": 124.0,
  "cell": [[3.553, 0.000, 0.000], [1.776, 3.077, 0.000], [1.776, 1.026, 11.342]],
  "species": ["Dy", "Y", "Tm", "Tm"],
  "frac_coords": [[0.666, 0.666, 0.001], [0.501, 0.501, 0.498], [0.083, 0.083, 0.750], [0.250, 0.250, 0.250]]
}


{
  "formula": "Dy3Y5Tm",
  "functional": "PBE",
  "state": "relaxed",
  "rho_g_cm3": 6.38,
  "spacegroup": "C2/c",
  "energy_ev_per_atom": -5.5583,
  "vol_a3_per_cell": 573.1,
  "cell": [[9.720, 0.000, 0.000], [-4.860, 8.385, -0.900], [0.000, 0.755, 6.951]],
  "species": ["Dy", "Dy", "Dy", "Dy", "Dy", "Dy", "Y", "Y", "Y", "Y", "Y", "Y", "Y", "Y", "Y", "Y", "Tm", "Tm"],
  "frac_coords": [[0.000, 0.000, 0.000], [0.665, 0.329, 0.500], [0.000, 0.000, 0.500], [0.335, 0.671, 0.500], [0.665, 0.329, 0.000], [0.335, 0.671, 0.000], [0.309, 0.000, 0.750], [0.692, 0.694, 0.750], [0.001, 0.359, 0.250], [0.308, 0.306, 0.250], [0.642, 0.641, 0.250], [0.691, 0.000, 0.250], [0.002, 0.694, 0.250], [0.998, 0.306, 0.750], [0.358, 0.359, 0.750], [0.999, 0.641, 0.750], [0.643, 0.000, 0.750], [0.357, 0.000, 0.250]]
}


{
  "formula": "Dy6Y2Tm3",
  "functional": "PBE",
  "state": "relaxed",
  "rho_g_cm3": 8.05,
  "spacegroup": "R-3m",
  "energy_ev_per_atom": -4.8819,
  "vol_a3_per_cell": 342.5,
  "cell": [[-3.493, 0.549, 0.012], [-1.981, -1.162, -2.688], [-6.098, -27.706, 14.142]],
  "species": ["Dy", "Dy", "Dy", "Dy", "Dy", "Dy", "Y", "Y", "Tm", "Tm", "Tm"],
  "frac_coords": [[0.910, 0.910, 0.271], [0.090, 0.090, 0.729], [0.818, 0.818, 0.546], [0.182, 0.182, 0.454], [0.637, 0.637, 0.090], [0.363, 0.363, 0.910], [0.546, 0.546, 0.362], [0.454, 0.454, 0.638], [0.000, 0.000, 0.000], [0.727, 0.727, 0.820], [0.273, 0.273, 0.180]]
}


{
  "formula": "Dy2YTm3",
  "functional": "PBE",
  "state": "relaxed",
  "rho_g_cm3": 8.16,
  "spacegroup": "C2/m",
  "energy_ev_per_atom": -4.8464,
  "vol_a3_per_cell": 374.9,
  "cell": [[3.603, 0.000, 0.000], [0.000, 11.045, -1.445], [-1.802, -4.311, 9.985]],
  "species": ["Dy", "Dy", "Dy", "Dy", "Y", "Y", "Tm", "Tm", "Tm", "Tm", "Tm", "Tm"],
  "frac_coords": [[0.277, 0.653, 0.554], [0.723, 0.347, 0.446], [0.944, 0.817, 0.889], [0.056, 0.183, 0.111], [0.388, 0.015, 0.777], [0.612, 0.985, 0.223], [0.279, 0.153, 0.558], [0.055, 0.678, 0.111], [0.390, 0.513, 0.779], [0.721, 0.847, 0.442], [0.610, 0.487, 0.221], [0.945, 0.322, 0.889]]
}


{
  "formula": "Dy2Y7Tm2",
  "functional": "PBE",
  "state": "relaxed",
  "rho_g_cm3": 6.01,
  "spacegroup": "Imm2",
  "energy_ev_per_atom": -5.6475,
  "vol_a3_per_cell": 355.0,
  "cell": [[5.272, 0.000, -1.609], [-1.221, 6.972, -3.999], [-0.042, 0.588, 9.302]],
  "species": ["Dy", "Dy", "Y", "Y", "Y", "Y", "Y", "Y", "Y", "Tm", "Tm"],
  "frac_coords": [[0.299, 0.921, 0.598], [0.701, 0.323, 0.402], [0.139, 0.052, 0.277], [0.136, 0.465, 0.273], [0.500, 0.921, 0.000], [0.339, 0.462, 0.679], [0.661, 0.784, 0.321], [0.861, 0.775, 0.723], [0.864, 0.193, 0.727], [0.000, 0.623, 0.000], [0.500, 0.335, 0.000]]
}